# 1
## Mg6VCdO8 (PBE with a Hubbard U)

Data for a geometry-optimized Mg6VCdO8 structure.

Properties
- total magnetic moment (μB/f.u.) = 3.0
- space group = P4/mmm, No. 123
- crystal system = tetragonal
- VASP energy (eV per atom) = -5.90

```
Mg6VCdO8
1.0
-3.287 2.780 0.829
-0.186 -1.453 4.132
5.750 6.084 2.398
Mg O Cd V
6 8 1 1
direct
0.000 0.500 0.257
0.500 0.000 0.257
0.000 0.500 0.743
0.500 0.500 0.500
0.000 0.000 0.500
0.500 0.000 0.743
0.000 0.500 0.000
0.000 0.000 0.255
0.500 0.000 0.000
0.000 0.500 0.500
0.500 0.000 0.500
0.500 0.500 0.267
0.000 0.000 0.745
0.500 0.500 0.733
0.500 0.500 0.000
0.000 0.000 0.000
```

# 2
## MgVCdO2 (PBE with a Hubbard U)

Data for a geometry-optimized MgVCdO2 structure.

Properties
- total magnetic moment (μB/f.u.) = 3.8
- space group = P4/mmm, No. 123
- crystal system = tetragonal
- VASP energy (eV per atom) = -3.86

```
MgVCdO2
1.0
3.972 0.000 0.000
0.000 5.297 0.000
0.000 0.000 3.972
Mg V O Cd
1 1 2 1
direct
0.000 0.000 0.000
0.000 0.500 0.000
0.000 0.000 0.500
0.500 0.000 0.000
0.500 0.500 0.500
```

# 3
## Mg6VCdO8 (PBE with a Hubbard U)

Data for a geometry-optimized Mg6VCdO8 structure.

Properties
- total magnetic moment (μB/f.u.) = 3.0
- space group = P4/mmm, No. 123
- crystal system = tetragonal
- VASP energy (eV per atom) = -5.89

```
Mg6VCdO8
1.0
4.371 0.000 0.000
0.000 4.371 0.000
0.000 0.000 8.786
O V Mg Cd
8 1 6 1
direct
0.000 0.500 0.000
0.500 0.000 0.500
0.000 0.000 0.240
0.500 0.500 0.250
0.500 0.500 0.750
0.000 0.500 0.500
0.000 0.000 0.760
0.500 0.000 0.000
0.000 0.000 0.000
0.500 0.000 0.754
0.500 0.000 0.246
0.000 0.500 0.754
0.500 0.500 0.500
0.000 0.500 0.246
0.500 0.500 0.000
0.000 0.000 0.500
```